# 1
{
  "formula": "FeRe5",
  "functional": "PBE",
  "state": "optimized geometry",
  "vol_a3_per_atom": 14.36,
  "m_tot_mub_per_fu": 0.00,
  "density_g_cm3": 19.02,
  "dos_at_fermi_per_ev_atom": 0.832,
  "e_above_lowest_polymorph_mev_per_atom": 0,
  "lattice_angstrom": [[5.016, -1.375, 0.000], [5.016, 1.375, 0.000], [-1.622, 0.000, 6.244]],
  "species": ["Fe", "Re", "Re", "Re", "Re", "Re"],
  "frac_coords": [[0.000, 0.000, 0.000], [0.053, 0.053, 0.612], [0.338, 0.338, 0.669], [0.393, 0.393, 0.265], [0.663, 0.663, 0.324], [0.718, 0.718, 0.943]]
}


# 2
{
  "formula": "MoBr5",
  "functional": "PBE",
  "state": "optimized geometry",
  "e_form_raw_kj_per_mol_atoms": 23.54,
  "vol_a3_per_atom": 28.00,
  "m_tot_mub_per_fu": 0.00,
  "density_g_cm3": 4.90,
  "dos_at_fermi_per_ev_atom": 0.718,
  "e_above_lowest_polymorph_mev_per_atom": 574,
  "lattice_angstrom": [[3.093, 0.000, 0.000], [0.000, 3.093, 0.000], [0.000, 0.000, 17.560]],
  "species": ["Mo", "Br", "Br", "Br", "Br", "Br"],
  "frac_coords": [[0.000, 0.000, 0.000], [0.000, 0.000, 0.270], [0.000, 0.000, 0.730], [0.500, 0.500, 0.091], [0.500, 0.500, 0.500], [0.500, 0.500, 0.909]]
}


# 3
{
  "formula": "SmScP2Rh5",
  "functional": "PBE",
  "state": "optimized geometry",
  "vol_a3_per_atom": 18.62,
  "m_tot_mub_per_fu": 0.00,
  "density_g_cm3": 7.65,
  "dos_at_fermi_per_ev_atom": 0.318,
  "total_energy_ry_per_atom": -0.5338,
  "lattice_angstrom": [[4.077, 0.000, 0.000], [0.000, 4.077, 0.000], [0.000, 0.000, 10.083]],
  "species": ["Sm", "Sc", "P", "P", "Rh", "Rh", "Rh", "Rh", "Rh"],
  "frac_coords": [[0.000, 0.000, 0.000], [0.000, 0.000, 0.500], [0.500, 0.500, 0.224], [0.500, 0.500, 0.776], [0.000, 0.500, 0.321], [0.000, 0.500, 0.679], [0.500, 0.000, 0.321], [0.500, 0.000, 0.679], [0.500, 0.500, 0.000]]
}


# 4
{
  "formula": "TaCrTe4",
  "functional": "PBE",
  "state": "optimized geometry",
  "e_form_raw_kj_per_mol_atoms": -14.20,
  "vol_a3_per_atom": 25.91,
  "m_tot_mub_per_fu": 2.51,
  "density_g_cm3": 7.94,
  "dos_at_fermi_per_ev_atom": 0.561,
  "e_above_lowest_polymorph_mev_per_atom": 111,
  "lattice_angstrom": [[4.426, -7.741, 0.000], [4.426, 7.741, 0.000], [-4.061, 0.000, 4.538]],
  "species": ["Ta", "Ta", "Cr", "Cr", "Te", "Te", "Te", "Te", "Te", "Te", "Te", "Te"],
  "frac_coords": [[0.047, 0.953, 0.750], [0.953, 0.047, 0.250], [0.306, 0.694, 0.250], [0.694, 0.306, 0.750], [0.014, 0.624, 0.790], [0.231, 0.351, 0.853], [0.351, 0.231, 0.353], [0.376, 0.986, 0.710], [0.624, 0.014, 0.290], [0.649, 0.769, 0.647], [0.769, 0.649, 0.147], [0.986, 0.376, 0.210]]
}


# 5
{
  "formula": "Li6CuBr8",
  "functional": "PBE",
  "state": "optimized geometry",
  "e_form_raw_kj_per_mol_atoms": -121.24,
  "vol_a3_per_atom": 22.02,
  "m_tot_mub_per_fu": 1.05,
  "density_g_cm3": 3.74,
  "dos_at_fermi_per_ev_atom": 0.274,
  "lattice_angstrom": [[0.000, 5.486, 5.486], [5.486, 0.000, 5.486], [5.486, 5.486, 0.000]],
  "species": ["Li", "Li", "Li", "Li", "Li", "Li", "Cu", "Br", "Br", "Br", "Br", "Br", "Br", "Br", "Br"],
  "frac_coords": [[0.000, 0.000, 0.500], [0.000, 0.500, 0.000], [0.000, 0.500, 0.500], [0.500, 0.000, 0.000], [0.500, 0.000, 0.500], [0.500, 0.500, 0.000], [0.000, 0.000, 0.000], [0.239, 0.239, 0.761], [0.239, 0.761, 0.239], [0.239, 0.761, 0.761], [0.250, 0.250, 0.250], [0.750, 0.750, 0.750], [0.761, 0.239, 0.239], [0.761, 0.239, 0.761], [0.761, 0.761, 0.239]]
}


# 6
{
  "formula": "Sc2TiTl3Te6",
  "functional": "PBE",
  "state": "optimized geometry",
  "e_form_raw_kj_per_mol_atoms": -74.67,
  "vol_a3_per_atom": 31.12,
  "m_tot_mub_per_fu": 1.03,
  "density_g_cm3": 6.74,
  "dos_at_fermi_per_ev_atom": 0.553,
  "lattice_angstrom": [[3.641, -6.300, 0.000], [3.641, 6.300, 0.000], [-2.427, 0.000, 8.142]],
  "species": ["Sc", "Sc", "Ti", "Tl", "Tl", "Tl", "Te", "Te", "Te", "Te", "Te", "Te"],
  "frac_coords": [[0.166, 0.834, 0.000], [0.834, 0.166, 0.000], [0.500, 0.500, 0.000], [0.000, 0.000, 0.500], [0.329, 0.671, 0.500], [0.671, 0.329, 0.500], [0.109, 0.434, 0.800], [0.243, 0.243, 0.203], [0.434, 0.109, 0.800], [0.566, 0.891, 0.200], [0.757, 0.757, 0.797], [0.891, 0.566, 0.200]]
}


# 7
{
  "formula": "BaTa2Au",
  "functional": "PBE",
  "state": "optimized geometry",
  "vol_a3_per_atom": 24.14,
  "m_tot_mub_per_fu": 0.00,
  "density_g_cm3": 11.97,
  "dos_at_fermi_per_ev_atom": 1.042,
  "e_above_lowest_polymorph_mev_per_atom": 465,
  "lattice_angstrom": [[-1.554, 2.892, 5.372], [1.554, -2.892, 5.372], [1.554, 2.892, -5.372]],
  "species": ["Ba", "Ta", "Ta", "Au"],
  "frac_coords": [[0.000, 0.000, 0.000], [0.503, 0.503, 0.000], [0.706, 0.206, 0.500], [0.281, 0.781, 0.500]]
}


# 8
{
  "formula": "ThIrPdAu",
  "functional": "PBE",
  "state": "optimized geometry",
  "vol_a3_per_atom": 19.28,
  "m_tot_mub_per_fu": 0.00,
  "density_g_cm3": 15.67,
  "dos_at_fermi_per_ev_atom": 0.251,
  "total_energy_ry_per_atom": -0.5066,
  "lattice_angstrom": [[4.015, 0.000, 0.000], [0.000, 4.272, 0.000], [0.000, 0.000, 4.496]],
  "species": ["Th", "Ir", "Pd", "Au"],
  "frac_coords": [[0.000, 0.000, 0.000], [0.500, 0.500, 0.000], [0.500, 0.000, 0.500], [0.000, 0.500, 0.500]]
}


# 9
{
  "formula": "InGe2Au4",
  "functional": "PBE",
  "state": "optimized geometry",
  "vol_a3_per_atom": 21.54,
  "m_tot_mub_per_fu": 0.00,
  "density_g_cm3": 11.54,
  "dos_at_fermi_per_ev_atom": 0.268,
  "total_energy_ry_per_atom": -0.2606,
  "lattice_angstrom": [[2.218, -5.502, 0.000], [2.218, 5.502, 0.000], [0.000, 0.000, 12.358]],
  "species": ["In", "In", "Ge", "Ge", "Ge", "Ge", "Au", "Au", "Au", "Au", "Au", "Au", "Au", "Au"],
  "frac_coords": [[0.219, 0.781, 0.750], [0.781, 0.219, 0.250], [0.416, 0.584, 0.590], [0.416, 0.584, 0.910], [0.584, 0.416, 0.090], [0.584, 0.416, 0.410], [0.000, 0.000, 0.000], [0.000, 0.000, 0.500], [0.245, 0.755, 0.085], [0.245, 0.755, 0.415], [0.435, 0.565, 0.250], [0.565, 0.435, 0.750], [0.755, 0.245, 0.585], [0.755, 0.245, 0.915]]
}


# 10
{
  "formula": "Sc4In5Ga2",
  "functional": "PBE",
  "state": "optimized geometry",
  "vol_a3_per_atom": 21.77,
  "m_tot_mub_per_fu": 0.00,
  "density_g_cm3": 6.19,
  "dos_at_fermi_per_ev_atom": 0.694,
  "total_energy_ry_per_atom": -0.3325,
  "lattice_angstrom": [[7.663, 0.000, 0.000], [0.000, 3.288, 0.000], [-0.866, 0.000, 9.506]],
  "species": ["Sc", "Sc", "Sc", "Sc", "In", "In", "In", "In", "In", "Ga", "Ga"],
  "frac_coords": [[0.183, 0.000, 0.366], [0.245, 0.000, 0.935], [0.755, 0.000, 0.065], [0.817, 0.000, 0.634], [0.167, 0.500, 0.650], [0.453, 0.500, 0.180], [0.500, 0.500, 0.500], [0.547, 0.500, 0.820], [0.833, 0.500, 0.350], [0.072, 0.500, 0.129], [0.928, 0.500, 0.871]]
}


# 11
{
  "formula": "La6Pr2Zn",
  "functional": "PBE",
  "state": "optimized geometry",
  "vol_a3_per_atom": 34.70,
  "m_tot_mub_per_fu": 0.00,
  "density_g_cm3": 6.28,
  "dos_at_fermi_per_ev_atom": 1.421,
  "e_above_lowest_polymorph_mev_per_atom": 31,
  "lattice_angstrom": [[10.579, 0.000, 0.000], [0.000, 10.607, 0.000], [0.000, 0.000, 5.566]],
  "species": ["La", "La", "La", "La", "La", "La", "La", "La", "La", "La", "La", "La", "Pr", "Pr", "Pr", "Pr", "Zn", "Zn"],
  "frac_coords": [[0.041, 0.191, 0.000], [0.122, 0.620, 0.500], [0.191, 0.956, 0.500], [0.309, 0.456, 0.000], [0.378, 0.120, 0.000], [0.459, 0.691, 0.500], [0.541, 0.309, 0.500], [0.622, 0.880, 0.000], [0.691, 0.544, 0.000], [0.809, 0.044, 0.500], [0.878, 0.380, 0.500], [0.959, 0.809, 0.000], [0.220, 0.276, 0.500], [0.280, 0.776, 0.000], [0.720, 0.224, 0.000], [0.780, 0.724, 0.500], [0.000, 0.500, 0.000], [0.500, 0.000, 0.500]]
}


# 12
{
  "formula": "Zr2NiSe",
  "functional": "PBE",
  "state": "optimized geometry",
  "e_form_raw_kj_per_mol_atoms": -56.00,
  "vol_a3_per_atom": 18.17,
  "m_tot_mub_per_fu": 0.00,
  "density_g_cm3": 7.31,
  "dos_at_fermi_per_ev_atom": 0.985,
  "lattice_angstrom": [[3.408, 0.000, 0.000], [0.000, 3.416, 0.000], [-0.783, 0.000, 6.244]],
  "species": ["Zr", "Zr", "Ni", "Se"],
  "frac_coords": [[0.021, 0.000, 0.263], [0.979, 0.000, 0.737], [0.500, 0.500, 0.500], [0.500, 0.500, 0.000]]
}


# 13
{
  "formula": "SeF",
  "functional": "PBE",
  "state": "optimized geometry",
  "e_form_raw_kj_per_mol_atoms": -65.57,
  "vol_a3_per_atom": 19.39,
  "m_tot_mub_per_fu": 0.00,
  "density_g_cm3": 4.19,
  "dos_at_fermi_per_ev_atom": 0.325,
  "e_above_lowest_polymorph_mev_per_atom": 385,
  "lattice_angstrom": [[2.775, 0.000, 0.000], [0.000, 12.613, 0.000], [0.000, 0.000, 6.647]],
  "species": ["Se", "Se", "Se", "Se", "Se", "Se", "F", "F", "F", "F", "F", "F"],
  "frac_coords": [[0.250, 0.085, 0.086], [0.250, 0.415, 0.086], [0.250, 0.750, 0.205], [0.750, 0.250, 0.795], [0.750, 0.585, 0.914], [0.750, 0.915, 0.914], [0.250, 0.250, 0.191], [0.250, 0.649, 0.393], [0.250, 0.851, 0.393], [0.750, 0.149, 0.607], [0.750, 0.351, 0.607], [0.750, 0.750, 0.809]]
}


# 14
{
  "formula": "CaCeEu2",
  "functional": "PBE",
  "state": "optimized geometry",
  "vol_a3_per_atom": 39.20,
  "m_tot_mub_per_fu": 16.66,
  "density_g_cm3": 5.13,
  "dos_at_fermi_per_ev_atom": 2.090,
  "e_above_lowest_polymorph_mev_per_atom": 0,
  "lattice_angstrom": [[3.816, 0.000, 0.000], [0.000, 3.816, 0.000], [0.000, 0.000, 10.765]],
  "species": ["Ca", "Ce", "Eu", "Eu"],
  "frac_coords": [[0.000, 0.000, 0.000], [0.000, 0.000, 0.500], [0.500, 0.500, 0.265], [0.500, 0.500, 0.735]]
}


# 15
{
  "formula": "MnAl2HPt",
  "functional": "PBE",
  "state": "optimized geometry",
  "vol_a3_per_atom": 11.26,
  "m_tot_mub_per_fu": 1.20,
  "density_g_cm3": 8.99,
  "dos_at_fermi_per_ev_atom": 0.431,
  "total_energy_ry_per_atom": -0.4154,
  "lattice_angstrom": [[4.081, 0.000, 0.000], [0.000, 4.081, 0.000], [0.000, 0.000, 3.381]],
  "species": ["Mn", "Al", "Al", "H", "Pt"],
  "frac_coords": [[0.000, 0.000, 0.000], [0.000, 0.500, 0.500], [0.500, 0.000, 0.500], [0.000, 0.000, 0.500], [0.500, 0.500, 0.000]]
}


# 16
{
  "formula": "Tc2PbN2",
  "functional": "PBE",
  "state": "optimized geometry",
  "e_form_raw_kj_per_mol_atoms": 39.28,
  "vol_a3_per_atom": 15.70,
  "m_tot_mub_per_fu": 0.00,
  "density_g_cm3": 9.12,
  "dos_at_fermi_per_ev_atom": 1.195,
  "e_above_lowest_polymorph_mev_per_atom": 0,
  "lattice_angstrom": [[-1.935, 1.935, 5.239], [1.935, -1.935, 5.239], [1.935, 1.935, -5.239]],
  "species": ["Tc", "Tc", "Pb", "N", "N"],
  "frac_coords": [[0.250, 0.750, 0.500], [0.750, 0.250, 0.500], [0.000, 0.000, 0.000], [0.319, 0.319, 0.000], [0.681, 0.681, 0.000]]
}


# 17
{
  "formula": "CuAgCl6",
  "functional": "PBE",
  "state": "optimized geometry",
  "e_form_raw_kj_per_mol_atoms": -29.00,
  "vol_a3_per_atom": 35.05,
  "m_tot_mub_per_fu": 1.08,
  "density_g_cm3": 2.27,
  "dos_at_fermi_per_ev_atom": 0.374,
  "lattice_angstrom": [[6.688, 0.000, 0.000], [-1.575, 6.749, 0.000], [-1.857, -3.606, 6.212]],
  "species": ["Cu", "Ag", "Cl", "Cl", "Cl", "Cl", "Cl", "Cl"],
  "frac_coords": [[0.000, 0.000, 0.000], [0.000, 0.500, 0.000], [0.136, 0.732, 0.845], [0.163, 0.207, 0.872], [0.441, 0.856, 0.502], [0.559, 0.144, 0.498], [0.837, 0.793, 0.128], [0.864, 0.268, 0.155]]
}


# 18
{
  "formula": "Tm4Pb3C",
  "functional": "PBE",
  "state": "optimized geometry",
  "vol_a3_per_atom": 26.72,
  "m_tot_mub_per_fu": 0.00,
  "density_g_cm3": 10.17,
  "dos_at_fermi_per_ev_atom": 0.719,
  "total_energy_ry_per_atom": -0.3741,
  "lattice_angstrom": [[4.971, -5.956, 0.000], [4.971, 5.956, 0.000], [0.000, 0.000, 3.610]],
  "species": ["Tm", "Tm", "Tm", "Tm", "Pb", "Pb", "Pb", "C"],
  "frac_coords": [[0.168, 0.168, 0.500], [0.207, 0.793, 0.000], [0.793, 0.207, 0.000], [0.832, 0.832, 0.500], [0.000, 0.500, 0.500], [0.500, 0.000, 0.500], [0.500, 0.500, 0.000], [0.000, 0.000, 0.000]]
}


# 19
{
  "formula": "AlSi2Os",
  "functional": "PBE",
  "state": "optimized geometry",
  "e_form_raw_kj_per_mol_atoms": 2.70,
  "vol_a3_per_atom": 13.76,
  "m_tot_mub_per_fu": 0.00,
  "density_g_cm3": 8.25,
  "dos_at_fermi_per_ev_atom": 0.365,
  "lattice_angstrom": [[2.553, -3.582, 0.000], [2.553, 3.582, 0.000], [0.000, 0.000, 3.010]],
  "species": ["Al", "Si", "Si", "Os"],
  "frac_coords": [[0.000, 0.000, 0.000], [0.000, 0.500, 0.500], [0.500, 0.000, 0.500], [0.500, 0.500, 0.000]]
}


# 20
{
  "formula": "GaFeCo2S",
  "functional": "PBE",
  "state": "optimized geometry",
  "e_form_raw_kj_per_mol_atoms": 128.71,
  "vol_a3_per_atom": 16.59,
  "m_tot_mub_per_fu": 1.06,
  "density_g_cm3": 5.51,
  "dos_at_fermi_per_ev_atom": 1.813,
  "lattice_angstrom": [[4.277, 0.000, 0.000], [0.000, 4.277, 0.000], [0.000, 0.000, 4.535]],
  "species": ["Ga", "Fe", "Co", "Co", "S"],
  "frac_coords": [[0.000, 0.000, 0.000], [0.500, 0.500, 0.500], [0.000, 0.500, 0.000], [0.500, 0.000, 0.000], [0.000, 0.000, 0.500]]
}


# 21
{
  "formula": "Ca2Te2Ir",
  "functional": "PBE",
  "state": "optimized geometry",
  "e_form_raw_kj_per_mol_atoms": -62.41,
  "vol_a3_per_atom": 25.66,
  "m_tot_mub_per_fu": 0.00,
  "density_g_cm3": 6.83,
  "dos_at_fermi_per_ev_atom": 0.813,
  "e_above_lowest_polymorph_mev_per_atom": 0,
  "lattice_angstrom": [[7.542, 0.000, 0.000], [0.000, 7.542, 0.000], [0.000, 0.000, 4.511]],
  "species": ["Ca", "Ca", "Ca", "Ca", "Te", "Te", "Te", "Te", "Ir", "Ir"],
  "frac_coords": [[0.156, 0.344, 0.000], [0.344, 0.844, 0.000], [0.656, 0.156, 0.000], [0.844, 0.656, 0.000], [0.164, 0.664, 0.500], [0.336, 0.164, 0.500], [0.664, 0.836, 0.500], [0.836, 0.336, 0.500], [0.000, 0.000, 0.500], [0.500, 0.500, 0.500]]
}


# 22
{
  "formula": "Ba6SeS5",
  "functional": "PBE",
  "state": "optimized geometry",
  "e_form_raw_kj_per_mol_atoms": -199.97,
  "vol_a3_per_atom": 34.26,
  "m_tot_mub_per_fu": 0.00,
  "density_g_cm3": 4.29,
  "dos_at_fermi_per_ev_atom": 0.000,
  "lattice_angstrom": [[3.979, -6.891, 0.000], [3.979, 6.891, 0.000], [-2.652, 0.000, 7.498]],
  "species": ["Ba", "Ba", "Ba", "Ba", "Ba", "Ba", "Se", "S", "S", "S", "S", "S"],
  "frac_coords": [[0.077, 0.416, 0.748], [0.246, 0.246, 0.254], [0.416, 0.077, 0.748], [0.584, 0.923, 0.252], [0.754, 0.754, 0.746], [0.923, 0.584, 0.252], [0.500, 0.500, 0.000], [0.000, 0.000, 0.500], [0.167, 0.833, 0.000], [0.334, 0.666, 0.500], [0.666, 0.334, 0.500], [0.833, 0.167, 0.000]]
}


# 23
{
  "formula": "PaBiSe2",
  "functional": "PBE",
  "state": "optimized geometry",
  "e_form_raw_kj_per_mol_atoms": -47.48,
  "vol_a3_per_atom": 27.48,
  "m_tot_mub_per_fu": 0.00,
  "density_g_cm3": 9.03,
  "dos_at_fermi_per_ev_atom": 1.702,
  "e_above_lowest_polymorph_mev_per_atom": 210,
  "lattice_angstrom": [[2.330, 1.345, 5.842], [-2.330, 1.345, 5.842], [0.000, -2.691, 5.842]],
  "species": ["Pa", "Bi", "Se", "Se"],
  "frac_coords": [[0.000, 0.000, 0.000], [0.500, 0.500, 0.500], [0.274, 0.274, 0.274], [0.726, 0.726, 0.726]]
}


# 24
{
  "formula": "K2SrMn2",
  "functional": "PBE",
  "state": "optimized geometry",
  "vol_a3_per_atom": 38.31,
  "m_tot_mub_per_fu": 7.98,
  "density_g_cm3": 2.39,
  "dos_at_fermi_per_ev_atom": 1.230,
  "e_above_lowest_polymorph_mev_per_atom": 0,
  "lattice_angstrom": [[-2.459, 2.459, 7.921], [2.459, -2.459, 7.921], [2.459, 2.459, -7.921]],
  "species": ["K", "K", "Sr", "Mn", "Mn"],
  "frac_coords": [[0.250, 0.750, 0.500], [0.750, 0.250, 0.500], [0.000, 0.000, 0.000], [0.422, 0.422, 0.000], [0.578, 0.578, 0.000]]
}